# 1
Ca3Mg4Cd8 (PBE, relaxed); raw total energy = -46.2 eV/cell; D(E_F) = 13.3 states/eV/cell; mass density = 5.0 g cm⁻³
1.0
0.987 3.909 9.309
7.637 -2.986 5.972
7.628 6.367 2.045
Ca Mg Cd
6 8 16
Direct
0.734 0.734 0.266
0.266 0.266 0.734
0.734 0.266 0.266
0.266 0.734 0.734
0.734 0.266 0.734
0.266 0.734 0.266
0.000 0.000 0.000
0.500 0.500 0.000
0.000 0.000 0.500
0.500 0.000 0.000
0.000 0.500 0.500
0.500 0.000 0.500
0.000 0.500 0.000
0.500 0.500 0.500
0.618 0.127 0.127
0.382 0.873 0.873
0.127 0.127 0.618
0.127 0.127 0.127
0.873 0.873 0.382
0.873 0.873 0.873
0.127 0.618 0.127
0.873 0.382 0.873
0.961 0.346 0.346
0.039 0.654 0.654
0.346 0.346 0.961
0.346 0.346 0.346
0.654 0.654 0.039
0.654 0.654 0.654
0.346 0.961 0.346
0.654 0.039 0.654

---

# 2
CaMg3Cd3 (PBE, relaxed); raw total energy = -14.9 eV/cell; D(E_F) = 9.6 states/eV/cell; mass density = 3.3 g cm⁻³
1.0
-6.347 2.052 -3.856
-4.033 -0.136 6.564
1.680 7.425 1.186
Ca Mg Cd
2 6 6
Direct
0.500 0.500 0.500
0.000 0.000 0.000
0.250 0.000 0.500
0.000 0.500 0.250
0.500 0.750 0.000
0.750 0.000 0.500
0.000 0.500 0.750
0.500 0.250 0.000
0.000 0.250 0.500
0.000 0.750 0.500
0.500 0.000 0.750
0.750 0.500 0.000
0.500 0.000 0.250
0.250 0.500 0.000

---

# 3
Ca4MgCd2 (PBE, relaxed); raw total energy = -12.0 eV/cell; D(E_F) = 8.2 states/eV/cell; mass density = 2.8 g cm⁻³
1.0
5.434 0.000 0.000
2.717 4.706 0.000
2.717 1.569 9.620
Ca Mg Cd
4 1 2
Direct
0.708 0.708 0.876
0.880 0.880 0.359
0.292 0.292 0.124
0.120 0.120 0.641
0.500 0.500 0.500
0.595 0.595 0.214
0.405 0.405 0.786

---

# 4
Ca2Mg3Cd2 (PBE, relaxed); raw total energy = -12.0 eV/cell; D(E_F) = 4.8 states/eV/cell; mass density = 3.3 g cm⁻³
1.0
4.800 0.000 0.000
-2.400 4.954 -2.474
0.000 0.441 7.675
Ca Mg Cd
2 3 2
Direct
0.857 0.713 0.226
0.143 0.287 0.774
0.500 0.000 0.000
0.623 0.247 0.437
0.377 0.753 0.563
0.855 0.710 0.793
0.145 0.290 0.207

---

# 5
Ca3Mg9Cd2 (PBE, relaxed); raw total energy = -23.1 eV/cell; D(E_F) = 7.7 states/eV/cell; mass density = 2.5 g cm⁻³
1.0
-4.439 2.012 0.835
-4.917 -1.618 -7.601
-5.667 -7.072 1.560
Ca Mg Cd
3 9 2
Direct
0.000 0.000 0.000
0.697 0.303 0.303
0.303 0.697 0.697
0.000 0.500 0.500
0.666 0.974 0.694
0.334 0.026 0.306
0.666 0.694 0.974
0.334 0.306 0.026
0.874 0.846 0.406
0.126 0.154 0.594
0.874 0.406 0.846
0.126 0.594 0.154
0.500 0.312 0.688
0.500 0.688 0.312

---

# 6
CaMg14Cd (PBE, relaxed); raw total energy = -25.4 eV/cell; D(E_F) = 6.8 states/eV/cell; mass density = 2.2 g cm⁻³
1.0
1.372 3.585 5.194
-5.645 0.756 -3.047
-4.331 -7.330 6.204
Ca Mg Cd
1 14 1
Direct
0.000 0.000 0.000
0.009 0.505 0.000
0.993 0.497 0.500
0.495 0.991 0.000
0.503 0.007 0.500
0.495 0.505 0.000
0.503 0.497 0.500
0.167 0.833 0.259
0.167 0.833 0.741
0.167 0.335 0.259
0.167 0.335 0.741
0.665 0.833 0.259
0.665 0.833 0.741
0.667 0.333 0.240
0.667 0.333 0.760
0.000 0.000 0.500